The following is a PBE with a Hubbard U calculation of crystalline BaLi2VO4 at its relaxed geometry, from Alexandria.

Values from the calculation:
Calculated volume ... 13.7 A^3/atom
Calculated density ... 4.04 g/cm³
M_tot ... 1.000 Bohr magnetons per cell
SG ... No. 121
Uncorrected energy ... -6.348 eV per atom

Cell lengths 5.3203, 5.3203, 5.3203 Å; angles 118.15, 118.15, 93.24 degrees
Fractional positions:
Ba 0.0000 0.0000 0.0000
Li 0.2500 0.7500 0.5000
Li 0.7500 0.2500 0.5000
V 0.5000 0.5000 0.0000
O 0.1585 0.5330 0.0000
O 0.4670 0.4670 0.6256
O 0.5330 0.1585 0.0000
O 0.8415 0.8415 0.3744